Below is a relaxed structure of Ni6O7, with properties calculated at the GGA+U level.

Calculated values
**D(E_F)**: 5.21 states/eV/f.u.
**Raw total energy**: -0.1753 Ha/atom

```
data_Ni6O7
_cell_length_a 5.1132
_cell_length_b 5.8962
_cell_length_c 8.8599
_cell_angle_alpha 90.03
_cell_angle_beta 95.45
_cell_angle_gamma 107.24
_space_group_name_H-M_alt 'P -1'
_space_group_IT_number 2
loop_
_space_group_symop_operation_xyz
'x,y,z'
'-x,-y,-z'
loop_
_atom_site_label
_atom_site_type_symbol
_atom_site_fract_x
_atom_site_fract_y
_atom_site_fract_z
Ni1 Ni 0.0000 0.0000 0.0000
Ni2 Ni 0.0000 0.5000 0.0000
Ni3 Ni 0.1448 0.2866 0.2834
Ni4 Ni 0.2734 0.5682 0.5681
Ni5 Ni 0.2844 0.0717 0.5705
Ni6 Ni 0.4226 0.3524 0.8520
Ni7 Ni 0.4389 0.8640 0.8537
O1 O 0.0079 0.2547 0.4876
O2 O 0.1590 0.0264 0.7880
O3 O 0.1619 0.5578 0.7952
O4 O 0.2825 0.3230 0.0703
O5 O 0.2979 0.8252 0.0583
O6 O 0.4521 0.1276 0.3637
O7 O 0.4565 0.5975 0.3615
```